Computed, not measured: BeGaTe2 after structural relaxation at the GGA-PBE level of DFT.

Values from the calculation:
- formation energy (no corrections) (eV/f.u.) = 0.520
- relative energy among the computed polymorphs (eV per atom) = 0.2976
- raw total energy (eV per atom) = -3.13

Lattice parameters (Å, degrees): 4.4606 4.4606 22.4222 90.00 90.00 120.00
With the nearest neighbours (Å) after each atom.
Space group R-3m (No. 166, hexagonal axes)
Symmetry-distinct sites (fractional):
Be  0.0000  0.0000  0.0000  2 Te 2.24
Ga  0.0000  0.0000  0.5000  6 Te 2.98
Te  0.0000  0.0000  0.0998  1 Be 2.24